# 1
## Ce3W5N12 (PBE)

Data for a relaxed structure of Ce3W5N12.

Summary:
SG   Ia-3d (230)
Mass density   9.24 g/cm³
Energy relative to the elements, uncorrected   -16.30 eV per formula unit
Electronic total energy   -0.365 hartree per atom

Cell lengths 11.2085, 11.2085, 11.2085 Å; angles 109.47, 109.47, 109.47 degrees
Fractional positions:
1 Ce 0.7500 0.3750 0.1250
2 Ce 0.8750 0.7500 0.1250
3 Ce 0.3750 0.7500 0.6250
4 Ce 0.2500 0.1250 0.3750
5 Ce 0.8750 0.1250 0.2500
6 Ce 0.3750 0.6250 0.2500
7 Ce 0.6250 0.3750 0.7500
8 Ce 0.1250 0.8750 0.7500
9 Ce 0.7500 0.8750 0.6250
10 Ce 0.6250 0.2500 0.3750
11 Ce 0.1250 0.2500 0.8750
12 Ce 0.2500 0.6250 0.8750
13 W 0.1250 0.3750 0.2500
14 W 0.0000 0.5000 0.0000
15 W 0.0000 0.0000 0.0000
16 W 0.3750 0.2500 0.1250
17 W 0.5000 0.0000 0.5000
18 W 0.5000 0.5000 0.0000
19 W 0.1250 0.7500 0.3750
20 W 0.7500 0.1250 0.8750
21 W 0.7500 0.6250 0.3750
22 W 0.3750 0.1250 0.7500
23 W 0.6250 0.8750 0.2500
24 W 0.5000 0.5000 0.5000
25 W 0.5000 0.0000 0.0000
26 W 0.0000 0.0000 0.5000
27 W 0.2500 0.3750 0.6250
28 W 0.2500 0.8750 0.1250
29 W 0.0000 0.5000 0.5000
30 W 0.8750 0.2500 0.6250
31 W 0.6250 0.7500 0.8750
32 W 0.8750 0.6250 0.7500
33 N 0.6973 0.1173 0.0168
34 N 0.3195 0.5168 0.3995
35 N 0.9832 0.3827 0.3027
36 N 0.5168 0.1973 0.1173
37 N 0.5800 0.6973 0.6805
38 N 0.9832 0.6005 0.1805
39 N 0.3195 0.8027 0.4200
40 N 0.1005 0.9200 0.1173
41 N 0.6005 0.9832 0.6805
42 N 0.6973 0.5800 0.1805
43 N 0.8027 0.4832 0.3827
44 N 0.8195 0.8995 0.0168
45 N 0.1173 0.6973 0.5168
46 N 0.3827 0.3995 0.0800
47 N 0.0800 0.8995 0.3827
48 N 0.4200 0.1173 0.6005
49 N 0.0800 0.1805 0.1973
50 N 0.4832 0.6805 0.1005
51 N 0.8195 0.9200 0.3027
52 N 0.1173 0.4200 0.1005
53 N 0.3827 0.9832 0.8027
54 N 0.6005 0.6173 0.4200
55 N 0.8995 0.8195 0.5168
56 N 0.8027 0.3195 0.9200
57 N 0.3995 0.3827 0.5800
58 N 0.1005 0.1805 0.4832
59 N 0.1973 0.6805 0.0800
60 N 0.1805 0.0800 0.6973
61 N 0.6173 0.0168 0.1973
62 N 0.8827 0.5800 0.8995
63 N 0.5168 0.3195 0.8995
64 N 0.5800 0.8827 0.3995
65 N 0.9200 0.8195 0.8027
66 N 0.9200 0.1005 0.6173
67 N 0.8827 0.3027 0.4832
68 N 0.1805 0.1005 0.9832
69 N 0.6173 0.6005 0.9200
70 N 0.3995 0.0168 0.3195
71 N 0.3027 0.4200 0.8195
72 N 0.1973 0.5168 0.6173
73 N 0.8995 0.0800 0.8827
74 N 0.6805 0.1973 0.5800
75 N 0.4832 0.8027 0.8827
76 N 0.0168 0.3995 0.8195
77 N 0.4200 0.3027 0.3195
78 N 0.0168 0.6173 0.6973
79 N 0.6805 0.4832 0.6005
80 N 0.3027 0.8827 0.9832


# 2
## Ce2WN4 (PBE)

Data for a relaxed structure of Ce2WN4.

Summary:
SG   I4/mmm (139)
Mass density   9.01 g/cm³
Energy relative to the elements, uncorrected   -8.14 eV per formula unit
E above lowest polymorph   0 meV/atom
Electronic total energy   -0.348 hartree per atom

Cell lengths 3.9562, 3.9562, 6.7321 Å; angles 107.09, 107.09, 90.00 degrees
Fractional positions:
1 Ce 0.6454 0.6454 0.2908
2 Ce 0.3546 0.3546 0.7093
3 W 0.0000 0.0000 0.0000
4 N 0.8256 0.8256 0.6512
5 N 0.1744 0.1744 0.3488
6 N 0.0000 0.5000 0.0000
7 N 0.5000 0.0000 0.0000


# 3
## Ce2WN4 (PBE)

Data for a relaxed structure of Ce2WN4.

Summary:
SG   P2_1/m (11)
Mass density   7.47 g/cm³
Energy relative to the elements, uncorrected   -7.14 eV per formula unit
E above lowest polymorph   143 meV/atom
Electronic total energy   -0.343 hartree per atom

Cell lengths 6.0039, 5.9552, 6.8225 Å; angles 90.00, 108.65, 90.00 degrees
Fractional positions:
1 Ce 0.6821 0.7500 0.0337
2 Ce 0.3179 0.2500 0.9663
3 Ce 0.2259 0.2500 0.4347
4 Ce 0.7741 0.7500 0.5653
5 W 0.2313 0.7500 0.1919
6 W 0.7687 0.2500 0.8081
7 N 0.4455 0.5057 0.2472
8 N 0.0425 0.7500 0.9146
9 N 0.9575 0.2500 0.0854
10 N 0.4455 0.9943 0.2472
11 N 0.9718 0.2500 0.6470
12 N 0.5545 0.0057 0.7528
13 N 0.5545 0.4943 0.7528
14 N 0.0282 0.7500 0.3530


# 4
## Ce3Y3WN8 (PBE)

Data for a relaxed structure of Ce3Y3WN8.

Summary:
SG   R-3m (166)
Mass density   7.08 g/cm³
Energy relative to the elements, uncorrected   -19.77 eV per formula unit
Electronic total energy   -0.334 hartree per atom

Cell lengths 6.9043, 6.9041, 6.8635 Å; angles 120.20, 90.00, 120.00 degrees
Fractional positions:
1 Ce 0.5000 0.0000 0.5000
2 Ce 0.5000 0.5000 0.5000
3 Ce 0.0000 0.5000 0.5000
4 Y 0.0000 0.0000 0.0000
5 Y 0.0000 0.5000 0.0000
6 Y 0.5000 0.5000 0.0000
7 W 0.0000 0.0000 0.5000
8 N 0.2480 0.4959 0.2438
9 N 0.7520 0.5041 0.7562
10 N 0.7835 0.5669 0.2854
11 N 0.2165 0.4331 0.7146
12 N 0.7835 0.0020 0.2854
13 N 0.2165 0.9980 0.7146
14 N 0.2185 0.0019 0.2855
15 N 0.7815 0.9981 0.7145


# 5
## Ce2YWN5 (PBE)

Data for a relaxed structure of Ce2YWN5.

Summary:
SG   P4/mbm (127)
Mass density   7.98 g/cm³
Energy relative to the elements, uncorrected   -8.76 eV per formula unit
Electronic total energy   -0.333 hartree per atom

Cell lengths 5.8599, 6.6499, 6.6499 Å; angles 90.00, 90.00, 90.00 degrees
Fractional positions:
1 Ce 0.5000 0.6697 0.1697
2 Ce 0.5000 0.1697 0.3303
3 Ce 0.5000 0.8303 0.6697
4 Ce 0.5000 0.3303 0.8303
5 Y 0.0000 0.5000 0.5000
6 Y 0.0000 0.0000 0.0000
7 W 0.0000 0.0000 0.5000
8 W 0.0000 0.5000 0.0000
9 N 0.5000 0.5000 0.5000
10 N 0.5000 0.0000 0.0000
11 N 0.2347 0.1477 0.6477
12 N 0.2347 0.8523 0.3523
13 N 0.2347 0.3523 0.1477
14 N 0.2347 0.6477 0.8523
15 N 0.7653 0.1477 0.6477
16 N 0.7653 0.6477 0.8523
17 N 0.7653 0.8523 0.3523
18 N 0.7653 0.3523 0.1477


# 6
## Ce2ZnWN5 (PBE)

Data for a relaxed structure of Ce2ZnWN5.

Summary:
SG   Cmc2_1 (36)
Mass density   8.86 g/cm³
Energy relative to the elements, uncorrected   -7.40 eV per formula unit
Electronic total energy   -0.307 hartree per atom

Cell lengths 3.2586, 7.1020, 9.9812 Å; angles 90.00, 90.00, 103.26 degrees
Fractional positions:
1 Ce 0.8698 0.7395 0.7907
2 Ce 0.1202 0.2404 0.7077
3 Ce 0.1302 0.2605 0.2907
4 Ce 0.8798 0.7596 0.2077
5 Zn 0.5082 0.0165 0.9805
6 Zn 0.4918 0.9835 0.4805
7 W 0.7872 0.5743 0.5059
8 W 0.2128 0.4257 0.0059
9 N 0.3583 0.7167 0.0086
10 N 0.7054 0.4109 0.8678
11 N 0.4998 0.9996 0.7743
12 N 0.2838 0.5676 0.6490
13 N 0.9262 0.8525 0.5394
14 N 0.6417 0.2833 0.5086
15 N 0.2946 0.5891 0.3678
16 N 0.5002 0.0004 0.2743
17 N 0.7162 0.4324 0.1490
18 N 0.0738 0.1475 0.0394